VASP calculation (PBE-GGA) on crystalline KTaAg2 at its relaxed geometry.

For the energy above the lowest structure with this stoichiometry, the calculation gives 610 meV per atom. As for the density of states at the Fermi level: 9.012 states/eV/cell.

It has space group Fm-3m (No. 225), with a = 7.070 Å, b = 7.070 Å, c = 7.070 Å, α = 90.00°, β = 90.00° and γ = 90.00°. The inequivalent atoms are K at (0.000, 0.000, 0.000), Ta at (0.000, 0.000, 0.500) and Ag at (0.250, 0.250, 0.250).